This record from Alexandria describes GaSi2Os2 after structural relaxation. The functional is GGA-PBE.

Calculated values
Crystal system: tetragonal
Polymorph energy (0 for the lowest one), eV per atom: 0.000
Formation energy without anion corrections, eV per atom: -0.18
DFT total energy, Ha/atom: -0.274

Structure (CIF):
```
data_GaSi2Os2
_symmetry_space_group_name_H-M 'I 4/m m m'
_symmetry_Int_Tables_number 139
_symmetry_space_group_name_Hall '-I 4 2'
_cell_length_a 3.528
_cell_length_b 3.528
_cell_length_c 12.046
_cell_angle_alpha 90.00
_cell_angle_beta 90.00
_cell_angle_gamma 90.00
loop_
_atom_site_label
_atom_site_type_symbol
_atom_site_fract_x
_atom_site_fract_y
_atom_site_fract_z
Ga1 Ga 0.000 0.000 0.000
Si1 Si 0.000 0.500 0.250
Os1 Os 0.000 0.000 0.386
```

This record from Alexandria describes PmY6Ho2Th after structural relaxation. The functional is GGA-PBE.

Calculated values
Crystal system: monoclinic
Formation energy from the elements, meV/atom: 149.2
DFT total energy, Ha/atom: -0.215

Structure (CIF):
```
data_PmY6Ho2Th
_symmetry_space_group_name_H-M 'C 1 2/c 1'
_symmetry_Int_Tables_number 15
_cell_length_a 9.322
_cell_length_b 14.988
_cell_length_c 9.450
_cell_angle_alpha 90.00
_cell_angle_beta 96.05
_cell_angle_gamma 90.00
loop_
_symmetry_equiv_pos_as_xyz
'x,y,z'
'-x,-y,-z'
'-x,y,-z+1/2'
'x,-y,z+1/2'
'x+1/2,y+1/2,z'
'-x+1/2,-y+1/2,-z'
'-x+1/2,y+1/2,-z+1/2'
'x+1/2,-y+1/2,z+1/2'
loop_
_atom_site_label
_atom_site_type_symbol
_atom_site_fract_x
_atom_site_fract_y
_atom_site_fract_z
Pm1 Pm 0.000 0.090 0.250
Y1 Y 0.061 0.325 0.441
Y2 Y 0.094 0.113 0.611
Y3 Y 0.208 0.278 0.817
Ho1 Ho 0.247 0.450 0.055
Th1 Th 0.000 0.466 0.750
```

This record from Alexandria describes PaTlIn2Br8 after structural relaxation. The functional is GGA-PBE.

Calculated values
Crystal system: triclinic
Formation energy without anion corrections, eV per atom: -1.08
DFT total energy, Ha/atom: -0.134

Structure (CIF):
```
data_PaTlIn2Br8
_symmetry_space_group_name_H-M 'P -1'
_symmetry_Int_Tables_number 2
_cell_length_a 7.144
_cell_length_b 7.724
_cell_length_c 9.542
_cell_angle_alpha 89.94
_cell_angle_beta 89.94
_cell_angle_gamma 89.28
loop_
_symmetry_equiv_pos_as_xyz
'x,y,z'
'-x,-y,-z'
loop_
_atom_site_label
_atom_site_type_symbol
_atom_site_fract_x
_atom_site_fract_y
_atom_site_fract_z
Pa1 Pa 0.000 0.000 0.000
Tl1 Tl 0.000 0.000 0.500
In1 In 0.500 0.500 0.270
Br1 Br 0.196 0.698 0.000
Br2 Br 0.231 0.126 0.204
Br3 Br 0.231 0.126 0.795
Br4 Br 0.282 0.664 0.500
```

This record from Alexandria describes Tm12Ag3Pt5 after structural relaxation. The functional is GGA-PBE.

Calculated values
Crystal system: cubic
Formation energy from the elements, meV/atom: -423.1
DFT total energy, Ha/atom: -0.185

Structure (CIF):
```
data_Tm12Ag3Pt5
_symmetry_space_group_name_H-M 'I a -3 d'
_symmetry_Int_Tables_number 230
_symmetry_space_group_name_Hall '-I 4bd 2c 3'
_cell_length_a 16.764
_cell_length_b 16.764
_cell_length_c 16.764
_cell_angle_alpha 90.00
_cell_angle_beta 90.00
_cell_angle_gamma 90.00
loop_
_atom_site_label
_atom_site_type_symbol
_atom_site_fract_x
_atom_site_fract_y
_atom_site_fract_z
Tm1 Tm 0.023 0.066 0.649
Ag1 Ag 0.000 0.250 0.125
Pt1 Pt 0.000 0.000 0.000
Pt2 Pt 0.000 0.250 0.375
```

This record from Alexandria describes GaSeSBr2 after structural relaxation. The functional is GGA-PBE.

Calculated values
Crystal system: tetragonal
Polymorph energy (0 for the lowest one), eV per atom: 0.000
Formation energy without anion corrections, eV per atom: 0.18
DFT total energy, Ha/atom: -0.096

Structure (CIF):
```
data_GaSeSBr2
_symmetry_space_group_name_H-M 'P 4/m m m'
_symmetry_Int_Tables_number 123
_symmetry_space_group_name_Hall '-P 4 2'
_cell_length_a 5.233
_cell_length_b 5.233
_cell_length_c 4.976
_cell_angle_alpha 90.00
_cell_angle_beta 90.00
_cell_angle_gamma 90.00
loop_
_atom_site_label
_atom_site_type_symbol
_atom_site_fract_x
_atom_site_fract_y
_atom_site_fract_z
Ga1 Ga 0.000 0.000 0.000
Se1 Se 0.500 0.500 0.000
S1 S 0.500 0.500 0.500
Br1 Br 0.000 0.500 0.500
```

This record from Alexandria describes TaMnAu2 after structural relaxation. The functional is GGA-PBE.

Calculated values
Crystal system: orthorhombic
Formation energy from the elements, meV/atom: 46.7
DFT total energy, Ha/atom: -0.252

Structure (CIF):
```
data_TaMnAu2
_symmetry_space_group_name_H-M 'P m m m'
_symmetry_Int_Tables_number 47
_cell_length_a 2.903
_cell_length_b 4.019
_cell_length_c 5.807
_cell_angle_alpha 90.00
_cell_angle_beta 90.00
_cell_angle_gamma 90.00
loop_
_symmetry_equiv_pos_as_xyz
'x,y,z'
'-x,-y,-z'
'-x,-y,z'
'x,y,-z'
'x,-y,-z'
'-x,y,z'
'-x,y,-z'
'x,-y,z'
loop_
_atom_site_label
_atom_site_type_symbol
_atom_site_fract_x
_atom_site_fract_y
_atom_site_fract_z
Ta1 Ta 0.000 0.000 0.000
Mn1 Mn 0.000 0.000 0.500
Au1 Au 0.500 0.500 0.255
```

This record from Alexandria describes ZrTi2BiH after structural relaxation. The functional is GGA-PBE.

Calculated values
Crystal system: tetragonal
DFT total energy, Ha/atom: -0.241

Structure (CIF):
```
data_ZrTi2BiH
_symmetry_space_group_name_H-M 'P 4/m m m'
_symmetry_Int_Tables_number 123
_symmetry_space_group_name_Hall '-P 4 2'
_cell_length_a 4.390
_cell_length_b 4.390
_cell_length_c 4.215
_cell_angle_alpha 90.00
_cell_angle_beta 90.00
_cell_angle_gamma 90.00
loop_
_atom_site_label
_atom_site_type_symbol
_atom_site_fract_x
_atom_site_fract_y
_atom_site_fract_z
Zr1 Zr 0.000 0.000 0.000
Ti1 Ti 0.000 0.500 0.500
Bi1 Bi 0.500 0.500 0.000
H1 H 0.000 0.000 0.500
```

This record from Alexandria describes TiRh3 after structural relaxation. The functional is GGA-PBE.

Calculated values
Crystal system: orthorhombic
Formation energy from the elements, meV/atom: -486.1
DFT total energy, Ha/atom: -0.293

Structure (CIF):
```
data_TiRh3
_symmetry_space_group_name_H-M 'I m m 2'
_symmetry_Int_Tables_number 44
_cell_length_a 2.790
_cell_length_b 8.704
_cell_length_c 4.751
_cell_angle_alpha 90.00
_cell_angle_beta 90.00
_cell_angle_gamma 90.00
loop_
_symmetry_equiv_pos_as_xyz
'x,y,z'
'-x,-y,z'
'-x,y,z'
'x,-y,z'
'x+1/2,y+1/2,z+1/2'
'-x+1/2,-y+1/2,z+1/2'
'-x+1/2,y+1/2,z+1/2'
'x+1/2,-y+1/2,z+1/2'
loop_
_atom_site_label
_atom_site_type_symbol
_atom_site_fract_x
_atom_site_fract_y
_atom_site_fract_z
Ti1 Ti 0.000 0.000 0.000
Rh1 Rh 0.000 0.253 0.671
Rh2 Rh 0.000 0.500 0.012
```

This record from Alexandria describes CaAc7Mg4 after structural relaxation. The functional is GGA-PBE.

Calculated values
Crystal system: monoclinic
Formation energy from the elements, meV/atom: 148.9
DFT total energy, Ha/atom: -0.108

Structure (CIF):
```
data_CaAc7Mg4
_symmetry_space_group_name_H-M 'C 1 2/m 1'
_symmetry_Int_Tables_number 12
_cell_length_a 16.326
_cell_length_b 6.336
_cell_length_c 10.570
_cell_angle_alpha 90.00
_cell_angle_beta 121.38
_cell_angle_gamma 90.00
loop_
_symmetry_equiv_pos_as_xyz
'x,y,z'
'-x,-y,-z'
'-x,y,-z'
'x,-y,z'
'x+1/2,y+1/2,z'
'-x+1/2,-y+1/2,-z'
'-x+1/2,y+1/2,-z'
'x+1/2,-y+1/2,z'
loop_
_atom_site_label
_atom_site_type_symbol
_atom_site_fract_x
_atom_site_fract_y
_atom_site_fract_z
Ca1 Ca 0.000 0.000 0.000
Ac1 Ac 0.000 0.500 0.000
Ac2 Ac 0.085 0.000 0.428
Ac3 Ac 0.192 0.000 0.873
Ac4 Ac 0.242 0.500 0.709
Mg1 Mg 0.029 0.500 0.684
Mg2 Mg 0.174 0.500 0.346
```

This record from Alexandria describes NaAg3Pb after structural relaxation. The functional is GGA-PBE.

Calculated values
Crystal system: cubic
Polymorph energy (0 for the lowest one), eV per atom: 0.568
Formation energy from the elements, meV/atom: 602.5
DFT total energy, Ha/atom: -0.078

Structure (CIF):
```
data_NaAg3Pb
_symmetry_space_group_name_H-M 'P m -3 m'
_symmetry_Int_Tables_number 221
_symmetry_space_group_name_Hall '-P 4 2 3'
_cell_length_a 5.037
_cell_length_b 5.037
_cell_length_c 5.037
_cell_angle_alpha 90.00
_cell_angle_beta 90.00
_cell_angle_gamma 90.00
loop_
_atom_site_label
_atom_site_type_symbol
_atom_site_fract_x
_atom_site_fract_y
_atom_site_fract_z
Na1 Na 0.000 0.000 0.000
Ag1 Ag 0.000 0.000 0.500
Pb1 Pb 0.500 0.500 0.500
```

This record from Alexandria describes Ir2AuSe after structural relaxation. The functional is GGA-PBE.

Calculated values
Crystal system: monoclinic
Formation energy without anion corrections, eV per atom: 0.46
DFT total energy, Ha/atom: -0.208

Structure (CIF):
```
data_Ir2AuSe
_symmetry_space_group_name_H-M 'C 1 2/m 1'
_symmetry_Int_Tables_number 12
_cell_length_a 7.753
_cell_length_b 2.995
_cell_length_c 5.914
_cell_angle_alpha 90.00
_cell_angle_beta 100.79
_cell_angle_gamma 90.00
loop_
_symmetry_equiv_pos_as_xyz
'x,y,z'
'-x,-y,-z'
'-x,y,-z'
'x,-y,z'
'x+1/2,y+1/2,z'
'-x+1/2,-y+1/2,-z'
'-x+1/2,y+1/2,-z'
'x+1/2,-y+1/2,z'
loop_
_atom_site_label
_atom_site_type_symbol
_atom_site_fract_x
_atom_site_fract_y
_atom_site_fract_z
Ir1 Ir 0.248 0.000 0.207
Au1 Au 0.000 0.000 0.500
Se1 Se 0.000 0.500 0.000
```

This record from Alexandria describes Zr5FeBi2 after structural relaxation. The functional is GGA-PBE.

Calculated values
Crystal system: orthorhombic
Formation energy from the elements, meV/atom: -248.7
DFT total energy, Ha/atom: -0.280

Structure (CIF):
```
data_Zr5FeBi2
_symmetry_space_group_name_H-M 'P b a m'
_symmetry_Int_Tables_number 55
_cell_length_a 7.452
_cell_length_b 11.997
_cell_length_c 4.098
_cell_angle_alpha 90.00
_cell_angle_beta 90.00
_cell_angle_gamma 90.00
loop_
_symmetry_equiv_pos_as_xyz
'x,y,z'
'-x,-y,-z'
'-x,-y,z'
'x,y,-z'
'x+1/2,-y+1/2,-z'
'-x+1/2,y+1/2,z'
'-x+1/2,y+1/2,-z'
'x+1/2,-y+1/2,z'
loop_
_atom_site_label
_atom_site_type_symbol
_atom_site_fract_x
_atom_site_fract_y
_atom_site_fract_z
Zr1 Zr 0.000 0.000 0.000
Zr2 Zr 0.136 0.316 0.000
Zr3 Zr 0.181 0.569 0.500
Fe1 Fe 0.000 0.500 0.000
Bi1 Bi 0.067 0.822 0.500
```

| no. | ρ (g/cm3) |
| --- | --- |
| 1 | 11.214 |
| 2 | 6.275 |
| 3 | 4.114 |
| 4 | 9.379 |
| 5 | 4.150 |
| 6 | 15.438 |
| 7 | 8.115 |
| 8 | 10.265 |
| 9 | 6.142 |
| 10 | 7.195 |
| 11 | 16.260 |
| 12 | 8.430 |